This record from Alexandria describes crystalline HfHgBOs2 at its relaxed geometry. The functional is PBE-GGA.

The structure in POSCAR format:
```
HfHgBOs2
1.0
-1.241 4.387 1.668
-1.272 -2.214 4.878
4.558 0.714 1.512
B Os Hg Hf
1 2 1 1
direct
0.500 0.500 0.500
0.000 0.000 0.500
0.500 0.000 0.000
0.000 0.500 0.000
0.000 0.000 0.000
```

Properties
Calculated formation energy ... 2.711 eV/atom
SG ... P4/mmm, No. 123
Raw total energy ... -5.17 eV per atom

***

This record from Alexandria describes crystalline HfHg2BRu at its relaxed geometry. The functional is PBE-GGA.

The structure in POSCAR format:
```
HfHg2BRu
1.0
5.580 0.000 0.000
0.000 4.680 0.000
0.000 0.000 5.580
Hg Ru B Hf
2 1 1 1
direct
0.000 0.000 0.500
0.500 0.000 0.000
0.000 0.500 0.000
0.500 0.500 0.500
0.000 0.000 0.000
```

Properties
Calculated formation energy ... 1.808 eV/atom
SG ... P4/mmm, No. 123
Raw total energy ... -3.49 eV per atom